Here is an optimized crystal structure of ZnSiIr2 from Alexandria via LeMat-Bulk. Energies are from GGA-PBE.

## Properties
Crystal system: tetragonal
Electronic total energy in eV/atom: -6.57
Formation energy without anion corrections in kJ/mol of atoms: -44

```
ZnSiIr2
1.0
2.887 0.000 0.000
0.000 2.887 0.000
0.000 0.000 6.602
Zn Si Ir
1 1 2
Direct
0.000 0.000 0.000
0.000 0.000 0.500
0.500 0.500 0.280
0.500 0.500 0.720
```


Here is an optimized crystal structure of PrZn2Rh from Alexandria via LeMat-Bulk. Energies are from GGA-PBE.

## Properties
Crystal system: trigonal
Electronic total energy in eV/atom: -4.08
Calculated formation energy in eV per formula unit: -1.64

```
PrZn2Rh
1.0
2.154 1.243 5.084
-2.154 1.243 5.084
0.000 -2.487 5.084
Pr Zn Rh
1 2 1
Direct
0.000 0.000 0.000
0.208 0.208 0.208
0.792 0.792 0.792
0.500 0.500 0.500
```


Here is an optimized crystal structure of MgWS2N from Alexandria via LeMat-Bulk. Energies are from GGA-PBE.

## Properties
Excess energy over the best structure of this formula in the dataset in eV/atom: 1.531
Crystal system: tetragonal
Electronic total energy in eV/atom: -4.92
Formation energy without anion corrections in kJ/mol of atoms: 126

```
MgWS2N
1.0
4.624 0.000 0.000
0.000 4.624 0.000
0.000 0.000 3.698
Mg W S N
1 1 2 1
Direct
0.000 0.000 0.000
0.500 0.500 0.500
0.000 0.500 0.000
0.500 0.000 0.000
0.000 0.000 0.500
```


Here is an optimized crystal structure of UGaSi2 from Alexandria via LeMat-Bulk. Energies are from GGA-PBE.

## Properties
Excess energy over the best structure of this formula in the dataset in eV/atom: 1.026
Crystal system: trigonal
Electronic total energy in eV/atom: -5.59
Formation energy without anion corrections in kJ/mol of atoms: 67

```
UGaSi2
1.0
2.236 1.291 6.835
-2.236 1.291 6.835
0.000 -2.582 6.835
U Ga Si
1 1 2
Direct
0.000 0.000 0.000
0.500 0.500 0.500
0.386 0.386 0.386
0.614 0.614 0.614
```


Here is an optimized crystal structure of AcEuRh4 from Alexandria via LeMat-Bulk. Energies are from GGA-PBE.

## Properties
Crystal system: cubic
Electronic total energy in eV/atom: -7.82
Calculated formation energy in eV per formula unit: -3.11

```
AcEuRh4
1.0
0.000 3.880 3.880
3.880 0.000 3.880
3.880 3.880 0.000
Ac Eu Rh
1 1 4
Direct
0.000 0.000 0.000
0.750 0.750 0.750
0.375 0.375 0.375
0.375 0.375 0.874
0.375 0.874 0.375
0.874 0.375 0.375
```


Here is an optimized crystal structure of Hg2MoPt from Alexandria via LeMat-Bulk. Energies are from GGA-PBE.

## Properties
Excess energy over the best structure of this formula in the dataset in eV/atom: 0.371
Crystal system: cubic
Electronic total energy in eV/atom: -3.87
Calculated formation energy in eV per formula unit: 2.00

```
Hg2MoPt
1.0
0.000 3.333 3.333
3.333 0.000 3.333
3.333 3.333 0.000
Hg Mo Pt
2 1 1
Direct
0.250 0.250 0.250
0.750 0.750 0.750
0.000 0.000 0.000
0.500 0.500 0.500
```


Here is an optimized crystal structure of BaNpGeO6 from Alexandria via LeMat-Bulk. Energies are from GGA-PBE.

## Properties
Crystal system: trigonal
Electronic total energy in eV/atom: -7.90
Formation energy without anion corrections in kJ/mol of atoms: -234

```
BaNpGeO6
1.0
5.358 0.000 0.000
-2.679 4.640 0.000
0.000 0.000 11.756
Ba Np Ge O
2 2 2 12
Direct
0.000 0.000 0.000
0.000 0.000 0.500
0.333 0.667 0.250
0.667 0.333 0.750
0.333 0.667 0.750
0.667 0.333 0.250
0.020 0.386 0.656
0.020 0.634 0.844
0.366 0.386 0.844
0.366 0.980 0.656
0.386 0.020 0.156
0.386 0.366 0.344
0.614 0.634 0.656
0.614 0.980 0.844
0.634 0.020 0.344
0.634 0.614 0.156
0.980 0.366 0.156
0.980 0.614 0.344
```


Here is an optimized crystal structure of TbEr2U from Alexandria via LeMat-Bulk. Energies are from GGA-PBE.

## Properties
Crystal system: trigonal
Electronic total energy in eV/atom: -5.83
Calculated formation energy in eV per formula unit: 1.74

```
TbEr2U
1.0
1.638 0.946 12.141
-1.638 0.946 12.141
0.000 -1.891 12.141
Tb Er U
1 2 1
Direct
0.000 0.000 0.000
0.413 0.413 0.413
0.587 0.587 0.587
0.500 0.500 0.500
```


Q: Look up the electronic total energy of the fourth one.
A: -5.59 eV/atom


Q: Among the records above, which one has the highest electronic total energy?
A: Hg2MoPt